(1)
First-principles (GGA-PBE) data for Er4Sn2Te after structural relaxation, as listed in Alexandria.

## Properties
* energy relative to the elements, uncorrected: -443 kJ/mol of formula units
* symmetry: P2_1/m (11)

Cell lengths 6.142, 6.441, 10.094 Å; angles 90.00, 98.85, 90.00 degrees
Fractional positions:
Er  0.432  0.496  0.731
Er  0.432  0.004  0.731
Er  0.568  0.996  0.269
Er  0.861  0.250  0.545
Sn  0.312  0.250  0.458
Sn  0.688  0.750  0.542
Er  0.568  0.504  0.269
Er  0.030  0.250  0.167
Te  0.952  0.250  0.842
Te  0.048  0.750  0.158
Er  0.139  0.750  0.455
Sn  0.492  0.250  0.010
Sn  0.508  0.750  0.990
Er  0.970  0.750  0.833


(2)
First-principles (GGA-PBE) data for Ac12Hg3Pd5 after structural relaxation, as listed in Alexandria.

## Properties
* symmetry: Ia-3d (230)
* formation energy from the elements: -299 meV/atom

Cell lengths 16.027, 16.027, 16.027 Å; angles 109.47, 109.47, 109.47 degrees
Fractional positions:
Ac  0.539  0.326  0.913
Ac  0.174  0.087  0.713
Pd  0.500  0.500  0.000
Hg  0.250  0.625  0.875
Ac  0.326  0.787  0.413
Ac  0.287  0.413  0.826
Pd  0.625  0.875  0.250
Ac  0.626  0.587  0.913
Pd  0.375  0.250  0.125
Pd  0.000  0.000  0.500
Ac  0.626  0.039  0.213
Ac  0.674  0.461  0.587
Pd  0.250  0.875  0.125
Ac  0.087  0.913  0.126
Pd  0.750  0.625  0.375
Ac  0.174  0.087  0.961
Ac  0.213  0.674  0.087
Ac  0.413  0.126  0.587
Ac  0.826  0.913  0.039
Pd  0.500  0.500  0.500
Pd  0.875  0.250  0.625
Ac  0.461  0.674  0.087
Pd  0.000  0.500  0.500
Ac  0.039  0.413  0.826
Ac  0.587  0.626  0.413
Pd  0.125  0.750  0.375
Ac  0.587  0.713  0.674
Ac  0.461  0.787  0.874
Hg  0.750  0.875  0.625
Ac  0.587  0.961  0.674
Pd  0.125  0.375  0.250
Pd  0.000  0.000  0.000
Ac  0.126  0.413  0.087
Ac  0.913  0.826  0.787
Hg  0.125  0.250  0.875
Pd  0.500  0.000  0.500
Ac  0.539  0.213  0.126
Pd  0.375  0.125  0.750
Ac  0.674  0.213  0.587
Ac  0.961  0.587  0.174
Ac  0.961  0.374  0.287
Hg  0.875  0.125  0.250
Ac  0.874  0.287  0.461
Hg  0.625  0.375  0.750
Pd  0.625  0.750  0.875
Pd  0.875  0.625  0.750
Ac  0.913  0.087  0.626
Ac  0.087  0.913  0.374
Ac  0.826  0.913  0.287
Ac  0.874  0.587  0.913
Ac  0.213  0.539  0.626
Hg  0.875  0.750  0.125
Ac  0.287  0.874  0.961
Ac  0.413  0.039  0.326
Ac  0.326  0.539  0.413
Ac  0.374  0.961  0.787
Ac  0.913  0.087  0.874
Pd  0.750  0.125  0.875
Ac  0.087  0.174  0.461
Pd  0.000  0.500  0.000
Hg  0.750  0.375  0.125
Ac  0.374  0.413  0.087
Pd  0.250  0.375  0.625
Hg  0.375  0.750  0.625
Ac  0.713  0.126  0.039
Ac  0.413  0.287  0.326
Hg  0.625  0.250  0.375
Pd  0.500  0.000  0.000
Ac  0.787  0.461  0.374
Ac  0.713  0.587  0.174
Hg  0.125  0.875  0.750
Ac  0.126  0.713  0.539
Ac  0.587  0.874  0.413
Ac  0.039  0.626  0.713
Ac  0.913  0.826  0.539
Hg  0.250  0.125  0.375
Ac  0.087  0.174  0.213
Ac  0.413  0.374  0.587
Ac  0.787  0.326  0.913
Hg  0.375  0.625  0.250


(3)
First-principles (GGA-PBE) data for KBeFe2 after structural relaxation, as listed in Alexandria.

## Properties
* symmetry: I4/mmm (139)
* formation energy from the elements: 1405 meV/atom

Cell lengths 4.919, 4.919, 4.919 Å; angles 131.90, 131.90, 70.39 degrees
Each line ends with the local moment (μB).
Fractional positions:
Fe  0.500  0.500  0.000  2.67
Fe  0.000  0.000  0.000  2.67
K  0.250  0.750  0.500  -0.03
Be  0.750  0.250  0.500  -0.13


(4)
First-principles (GGA-PBE) data for TbNd4Ho after structural relaxation, as listed in Alexandria.

## Properties
* ΔE to the lowest computed polymorph: 0.000 eV/atom
* symmetry: Cmmm (65)
* formation energy from the elements: 18 meV/atom

Cell lengths 8.121, 8.121, 5.150 Å; angles 90.01, 90.01, 37.00 degrees
Fractional positions:
Nd  0.335  0.335  0.000
Nd  0.165  0.165  0.500
Nd  0.665  0.665  0.000
Ho  0.000  0.000  0.000
Nd  0.835  0.835  0.500
Tb  0.500  0.500  0.500


(5)
First-principles (GGA-PBE) data for CeMg14Mo after structural relaxation, as listed in Alexandria.

## Properties
* ΔE to the lowest computed polymorph: 0.059 eV/atom
* symmetry: P-6m2 (187)
* formation energy from the elements: 161 meV/atom

Cell lengths 6.432, 6.432, 10.186 Å; angles 90.00, 90.00, 120.00 degrees
Each line ends with the local moment (μB).
Fractional positions:
Mg  0.163  0.326  0.732  0.00
Mg  0.667  0.333  0.765  0.01
Mg  0.492  0.984  0.000  0.02
Mg  0.163  0.837  0.732  0.00
Mg  0.993  0.497  0.500  -0.01
Mg  0.674  0.837  0.732  0.00
Mg  0.674  0.837  0.268  0.00
Mg  0.503  0.007  0.500  -0.01
Mo  0.000  0.000  0.500  1.27
Mg  0.163  0.837  0.268  0.00
Ce  0.000  0.000  0.000  1.08
Mg  0.503  0.497  0.500  -0.01
Mg  0.667  0.333  0.235  0.01
Mg  0.016  0.508  0.000  0.02
Mg  0.163  0.326  0.268  0.00
Mg  0.492  0.508  0.000  0.02


(6)
First-principles (GGA-PBE) data for Dy6Zn2Cd after structural relaxation, as listed in Alexandria.

## Properties
* ΔE to the lowest computed polymorph: 0.243 eV/atom
* symmetry: I4/mmm (139)
* formation energy from the elements: 49 meV/atom

Cell lengths 4.964, 4.964, 11.369 Å; angles 102.61, 102.61, 90.00 degrees
Fractional positions:
Dy  0.250  0.750  0.500
Zn  0.668  0.668  0.336
Dy  0.910  0.410  0.820
Cd  0.000  0.000  0.000
Zn  0.332  0.332  0.664
Dy  0.090  0.590  0.180
Dy  0.410  0.910  0.820
Dy  0.590  0.090  0.180
Dy  0.750  0.250  0.500


(7)
First-principles (GGA-PBE) data for Zr2NiPdPt after structural relaxation, as listed in Alexandria.

## Properties
* symmetry: P4/mmm (123)
* formation energy from the elements: 625 meV/atom

Cell lengths 4.976, 4.923, 4.976 Å; angles 90.00, 90.00, 90.00 degrees
Each line ends with the local moment (μB).
Fractional positions:
Zr  0.500  0.000  0.000  -0.01
Ni  0.500  0.500  0.500  0.47
Pt  0.000  0.000  0.000  -0.01
Pd  0.000  0.500  0.000  0.02
Zr  0.000  0.000  0.500  -0.02


(8)
First-principles (GGA-PBE) data for CoNiIr2 after structural relaxation, as listed in Alexandria.

## Properties
* ΔE to the lowest computed polymorph: 0.197 eV/atom
* symmetry: Fm-3m (225)
* formation energy from the elements: 202 meV/atom

Cell lengths 4.170, 4.170, 4.170 Å; angles 60.00, 60.00, 60.00 degrees
Each line ends with the local moment (μB).
Fractional positions:
Ni  0.500  0.500  0.500  -0.38
Ir  0.750  0.750  0.750  0.06
Co  0.000  0.000  0.000  1.50
Ir  0.250  0.250  0.250  0.06